# LiYSn | the Alexandria database | PBE | relaxed
data_LiYSn
_chemical_formula_sum 'Li2 Y2 Sn2'
_space_group_name_H-M_alt 'C 1 m 1'
_space_group_IT_number 8
_space_group_name_Hall 'C -2y'
_cell_length_a 6.010
_cell_length_b 3.480
_cell_length_c 7.771
_cell_angle_alpha 90.00
_cell_angle_beta 105.05
_cell_angle_gamma 90.00
loop_
_atom_site_label
_atom_site_fract_x
_atom_site_fract_y
_atom_site_fract_z
Li1 0.000 0.000 0.000
Y1 0.292 0.500 0.379
Sn1 0.072 0.500 0.719
# energy of formation	-0.17	eV per atom